# TmInNiPt (GGA-PBE, relaxed)
data_TmInNiPt
_chemical_formula_sum 'Tm4 In4 Ni4 Pt4'
_cell_length_a 6.6208
_cell_length_b 6.6208
_cell_length_c 6.6208
_cell_angle_alpha 90.00
_cell_angle_beta 90.00
_cell_angle_gamma 90.00
_symmetry_space_group_name_H-M 'F -4 3 m'
_symmetry_Int_Tables_number 216
_symmetry_space_group_name_Hall 'F -4 2 3'
loop_
_atom_site_label
_atom_site_type_symbol
_atom_site_fract_x
_atom_site_fract_y
_atom_site_fract_z
Tm1 Tm 0.0000 0.0000 0.0000
In1 In 0.0000 0.0000 0.5000
Ni1 Ni 0.2500 0.2500 0.7500
Pt1 Pt 0.2500 0.2500 0.2500
# ΔE_f in eV/atom: -0.68
# Crystal system: cubic


# UInNiPt (GGA-PBE, relaxed)
data_UInNiPt
_chemical_formula_sum 'U4 In4 Ni4 Pt4'
_cell_length_a 6.7012
_cell_length_b 6.7012
_cell_length_c 6.7012
_cell_angle_alpha 90.00
_cell_angle_beta 90.00
_cell_angle_gamma 90.00
_symmetry_space_group_name_H-M 'F -4 3 m'
_symmetry_Int_Tables_number 216
_symmetry_space_group_name_Hall 'F -4 2 3'
loop_
_atom_site_label
_atom_site_type_symbol
_atom_site_fract_x
_atom_site_fract_y
_atom_site_fract_z
U1 U 0.0000 0.0000 0.0000
In1 In 0.0000 0.0000 0.5000
Ni1 Ni 0.2500 0.2500 0.7500
Pt1 Pt 0.2500 0.2500 0.2500
# ΔE_f in eV/atom: -0.33
# Crystal system: cubic


# ZnInNiPt (GGA-PBE, relaxed)
data_ZnInNiPt
_chemical_formula_sum 'Zn4 In4 Ni4 Pt4'
_cell_length_a 6.2670
_cell_length_b 6.2670
_cell_length_c 6.2670
_cell_angle_alpha 90.00
_cell_angle_beta 90.00
_cell_angle_gamma 90.00
_symmetry_space_group_name_H-M 'F -4 3 m'
_symmetry_Int_Tables_number 216
_symmetry_space_group_name_Hall 'F -4 2 3'
loop_
_atom_site_label
_atom_site_type_symbol
_atom_site_fract_x
_atom_site_fract_y
_atom_site_fract_z
Zn1 Zn 0.0000 0.0000 0.0000
In1 In 0.0000 0.0000 0.5000
Ni1 Ni 0.2500 0.2500 0.2500
Pt1 Pt 0.2500 0.2500 0.7500
# ΔE_f in eV/atom: -0.29
# Crystal system: cubic